Record 1
# NaLiMg

A relaxed NaLiMg crystal (PBE, Alexandria via LeMat-Bulk).

formation energy	0.034	eV/atom
energy relative to the lowest polymorph listed for this composition	0.0	meV per atom
theoretical density	1.189	g/cm3

abc: 3.187 4.904 9.816
angles: 90.00 99.05 90.00
Space group P2_1 (No. 4)
Asymmetric unit:
1 Na 0.198 0.000 0.399 x2
2 Li 0.037 0.000 0.078 x2
3 Mg 0.406 0.002 0.806 x2

***

Record 2
# K2RbV2

A relaxed K2RbV2 crystal (PBE, Alexandria via LeMat-Bulk).

formation energy	0.830	eV/atom
energy relative to the lowest polymorph listed for this composition	0.0	meV per atom
theoretical density	2.385	g/cm3

abc: 3.486 3.486 30.425
angles: 90.00 90.00 90.00
Space group I4/mmm (No. 139)
Asymmetric unit:
1 K 0.000 0.000 0.144 x4
2 Rb 0.000 0.000 0.500 x2
3 V 0.000 0.500 0.250 x4

***

Record 3
# Co2TcPt2

A relaxed Co2TcPt2 crystal (PBE, Alexandria via LeMat-Bulk).

formation energy	0.223	eV/atom
energy relative to the lowest polymorph listed for this composition	68.7	meV per atom
theoretical density	14.187	g/cm3

abc: 7.282 7.282 2.676
angles: 90.00 90.00 90.00
Space group P4/mbm (No. 127)
Asymmetric unit:
1 Co 0.167 0.333 0.000 x4
2 Tc 0.000 0.000 0.500 x2
3 Pt 0.132 0.632 0.500 x4

***

Record 4
# CeSm6Y3

A relaxed CeSm6Y3 crystal (PBE, Alexandria via LeMat-Bulk).

formation energy	0.226	eV/atom
theoretical density	6.360	g/cm3

abc: 5.635 10.122 12.267
angles: 90.00 102.33 90.00
Space group P2_1/c (No. 14)
Asymmetric unit:
1 Ce 0.000 0.000 0.000 x2
2 Sm 0.001 0.184 0.500 x4
3 Sm 0.117 0.501 0.764 x4
4 Sm 0.414 0.170 0.855 x4
5 Y 0.415 0.666 0.361 x4
6 Y 0.500 0.000 0.500 x2

***

Record 5
# Dy5NpP6

A relaxed Dy5NpP6 crystal (PBE, Alexandria via LeMat-Bulk).

formation energy	-1.486	eV/atom
theoretical density	7.590	g/cm3

abc: 6.918 11.981 6.917
angles: 90.00 109.45 90.00
Space group C2/m (No. 12)
Asymmetric unit:
1 Dy 0.000 0.000 0.000 x2
2 Dy 0.000 0.166 0.500 x4
3 Dy 0.000 0.332 0.000 x4
4 Np 0.000 0.500 0.500 x2
5 P 0.246 0.500 0.253 x4
6 P 0.247 0.336 0.748 x8

***

Record 6
# LiMg2Zn2Cd4

A relaxed LiMg2Zn2Cd4 crystal (PBE, Alexandria via LeMat-Bulk).

formation energy	-0.082	eV/atom
theoretical density	5.952	g/cm3

abc: 14.179 3.153 8.094
angles: 90.00 101.32 90.00
Space group C2/m (No. 12)
Asymmetric unit:
1 Li 0.000 0.000 0.000 x2
2 Mg 0.158 0.000 0.592 x4
3 Zn 0.165 0.500 0.925 x4
4 Cd 0.010 0.500 0.316 x4
5 Cd 0.175 0.000 0.225 x4